No. 1
# TeRuCl2, relaxed, DFT GGA-PBE
data_TeRuCl2
_space_group_name_H-M_alt 'C 1 2/m 1'
_space_group_IT_number 12
_cell_length_a 14.179
_cell_length_b 3.026
_cell_length_c 5.212
_cell_angle_alpha 90.00
_cell_angle_beta 111.13
_cell_angle_gamma 90.00
loop_
_space_group_symop_operation_xyz
'x,y,z'
'-x,-y,-z'
'-x,y,-z'
'x,-y,z'
'x+1/2,y+1/2,z'
'-x+1/2,-y+1/2,-z'
'-x+1/2,y+1/2,-z'
'x+1/2,-y+1/2,z'
loop_
_atom_site_label
_atom_site_type_symbol
_atom_site_fract_x
_atom_site_fract_y
_atom_site_fract_z
Te1 Te 0.000 0.000 0.000
Ru1 Ru 0.000 0.500 0.500
Cl1 Cl 0.142 0.000 0.639
# Formation energy without anion corrections, eV per formula unit: -0.056
# Uncorrected energy, eV per atom: -4.042



No. 2
# Te8RuCl2, relaxed, DFT GGA-PBE
data_Te8RuCl2
_space_group_name_H-M_alt 'C 1 2/c 1'
_space_group_IT_number 15
_cell_length_a 9.331
_cell_length_b 14.870
_cell_length_c 10.671
_cell_angle_alpha 90.00
_cell_angle_beta 113.43
_cell_angle_gamma 90.00
loop_
_space_group_symop_operation_xyz
'x,y,z'
'-x,-y,-z'
'-x,y,-z+1/2'
'x,-y,z+1/2'
'x+1/2,y+1/2,z'
'-x+1/2,-y+1/2,-z'
'-x+1/2,y+1/2,-z+1/2'
'x+1/2,-y+1/2,z+1/2'
loop_
_atom_site_label
_atom_site_type_symbol
_atom_site_fract_x
_atom_site_fract_y
_atom_site_fract_z
Te1 Te 0.062 0.151 0.146
Te2 Te 0.132 0.111 0.711
Te3 Te 0.151 0.360 0.631
Te4 Te 0.229 0.482 0.028
Ru1 Ru 0.000 0.000 0.000
Cl1 Cl 0.000 0.413 0.250
Cl2 Cl 0.250 0.250 0.000
# Formation energy without anion corrections, eV per formula unit: -2.247
# Uncorrected energy, eV per atom: -3.668



No. 3
# TeRuCl2, relaxed, DFT GGA-PBE
data_TeRuCl2
_space_group_name_H-M_alt 'C 1 m 1'
_space_group_IT_number 8
_cell_length_a 6.775
_cell_length_b 3.911
_cell_length_c 8.264
_cell_angle_alpha 90.00
_cell_angle_beta 91.17
_cell_angle_gamma 90.00
loop_
_space_group_symop_operation_xyz
'x,y,z'
'x,-y,z'
'x+1/2,y+1/2,z'
'x+1/2,-y+1/2,z'
loop_
_atom_site_label
_atom_site_type_symbol
_atom_site_fract_x
_atom_site_fract_y
_atom_site_fract_z
Te1 Te 0.000 0.000 0.000
Ru1 Ru 0.163 0.500 0.866
Cl1 Cl 0.007 0.000 0.289
Cl2 Cl 0.326 0.000 0.698
# Formation energy without anion corrections, eV per formula unit: -1.275
# Uncorrected energy, eV per atom: -4.346